RbCaCoO2: relaxed, GGA+U.

Properties
Total energy: -19.421 eV/cell
ρ: 3.08 g cm⁻³
Calculated volume: 117 Å³/cell

a b c (Å): 4.6177 4.6177 5.4795
angles (deg): 90.00 90.00 90.00
Last column: nearest neighbours and their distance in Å.
Space group P4/mmm (No. 123)
Asymmetric unit:
1 Rb 0.0000 0.0000 0.0000  4 Co 3.27, 8 O 3.58
2 Ca 0.5000 0.5000 0.5000  4 O 2.31
3 Co 0.5000 0.5000 0.0000  2 Ca 2.74
4 O 0.0000 0.5000 0.5000  2 Ca 2.31